A relaxed PmEuLuPb crystal, computed with PBE-GGA.

Unit cell a=5.5999 b=5.5999 c=5.5999 alpha=60.00 beta=60.00 gamma=60.00
Last column: nearest neighbours and their distance in Å.
Sites, in units of the cell vectors:
Pb (0.2500, 0.2500, 0.2500)  4 Pm 3.43, 4 Eu 3.43
Eu (0.0000, 0.0000, 0.0000)  4 Lu 3.43, 4 Pb 3.43
Lu (0.7500, 0.7500, 0.7500)  4 Pm 3.43, 4 Eu 3.43
Pm (0.5000, 0.5000, 0.5000)  4 Pb 3.43, 4 Lu 3.43

Results
For the formation energy, the calculation gives -0.125 eV per atom. The value obtained for the mass density is 9.1 g/cm3. As for the crystal system: cubic. Its space-group type is No. 216.